1.
First-principles (GGA-PBE) data for an optimized crystal structure of TlCd2Tc, as listed in Alexandria.

```
TlCd2Tc
1.0
-2.8003 -1.3035 1.9054
-1.4184 -1.3919 -3.0368
3.1079 -5.2687 0.9633
Cd Tc Tl
2 1 1
Direct
0.5000 0.5000 0.2606
0.0000 0.0000 0.0135
0.0000 0.0000 0.5023
0.5000 0.5000 0.7236
```

Results
**M_tot**: 0.19 μB per atom
**Energy above the lowest structure with this stoichiometry**: 0.1368 eV per atom

2.
First-principles (GGA-PBE) data for an optimized crystal structure of TlCd3Tc, as listed in Alexandria.

```
TlCd3Tc
1.0
5.3118 0.0000 0.0000
0.0000 5.3118 0.0000
0.0000 0.0000 5.3118
Cd Tc Tl
3 1 1
Direct
0.5000 0.0000 0.0000
0.0000 0.5000 0.0000
0.0000 0.0000 0.5000
0.0000 0.0000 0.0000
0.5000 0.5000 0.5000
```

Results
**M_tot**: 0.26 μB per atom
**Energy above the lowest structure with this stoichiometry**: 0.0000 eV per atom

3.
First-principles (GGA-PBE) data for an optimized crystal structure of TlCdTc, as listed in Alexandria.

```
TlCdTc
1.0
3.0872 0.0000 0.0000
-1.5436 2.6736 0.0000
0.0000 0.0000 7.4384
Tc Cd Tl
1 1 1
Direct
0.6667 0.3333 0.3297
0.0000 0.0000 0.0254
0.3333 0.6667 0.6449
```

Results
**M_tot**: 0.35 μB per atom
**Energy above the lowest structure with this stoichiometry**: 0.0000 eV per atom

4.
First-principles (GGA-PBE) data for an optimized crystal structure of TlCdTc2, as listed in Alexandria.

```
TlCdTc2
1.0
7.6374 0.0000 0.0000
0.0000 7.6374 0.0000
3.8187 3.8187 2.7318
Tc Tl Cd
4 2 2
Direct
0.3750 0.3729 0.7500
0.8750 0.8771 0.7500
0.1229 0.6250 0.2500
0.6271 0.1250 0.2500
0.0000 0.0000 0.0000
0.7500 0.2500 0.5000
0.5000 0.5000 0.0000
0.2500 0.7500 0.5000
```

Results
**M_tot**: 0.71 μB per atom
**Energy above the lowest structure with this stoichiometry**: 0.9122 eV per atom

5.
First-principles (GGA-PBE) data for an optimized crystal structure of TlCdTc2, as listed in Alexandria.

```
TlCdTc2
1.0
-2.1968 1.9954 -0.3893
-1.7518 -1.5491 1.9450
2.1934 3.8705 7.4610
Tc Cd Tl
2 1 1
Direct
0.5000 0.3359 0.2026
0.0000 0.9181 0.0393
0.5000 0.5418 0.7948
0.0000 0.7042 0.4633
```

Results
**M_tot**: 0.00 μB per atom
**Energy above the lowest structure with this stoichiometry**: 0.0000 eV per atom

6.
First-principles (GGA-PBE) data for an optimized crystal structure of TlCdTc2, as listed in Alexandria.

```
TlCdTc2
1.0
-0.0177 -2.4869 -1.6966
2.4513 0.9730 -1.4519
4.9565 -3.9418 5.7264
Tc Cd Tl
2 1 1
Direct
0.5000 0.5000 0.2029
0.0000 0.0000 0.0377
0.5000 0.5000 0.7925
0.0000 0.0000 0.4669
```

Results
**M_tot**: 0.00 μB per atom
**Energy above the lowest structure with this stoichiometry**: 0.0160 eV per atom

7.
First-principles (GGA-PBE) data for an optimized crystal structure of TlCd2Tc, as listed in Alexandria.

```
TlCd2Tc
1.0
0.0000 3.5033 3.5033
3.5033 0.0000 3.5033
3.5033 3.5033 0.0000
Tl Tc Cd
1 1 2
Direct
0.5000 0.5000 0.5000
0.0000 0.0000 0.0000
0.2500 0.2500 0.2500
0.7500 0.7500 0.7500
```

Results
**M_tot**: 0.63 μB per atom
**Energy above the lowest structure with this stoichiometry**: 0.3184 eV per atom

8.
First-principles (GGA-PBE) data for an optimized crystal structure of TlCdTc3, as listed in Alexandria.

```
TlCdTc3
1.0
5.0126 0.0000 0.0000
0.0000 5.0126 0.0000
0.0000 0.0000 5.0126
Tl Tc Cd
1 3 1
Direct
0.5000 0.5000 0.5000
0.5000 0.0000 0.0000
0.0000 0.0000 0.5000
0.0000 0.5000 0.0000
0.0000 0.0000 0.0000
```

Results
**M_tot**: 1.60 μB per atom
**Energy above the lowest structure with this stoichiometry**: 0.0000 eV per atom